# 1
First-principles (PBE) data for V3MoPt after structural relaxation, as listed in Alexandria.

Properties
- ΔE_f (eV/atom) = 1.34
- magnetization (Bohr magnetons per cell) = 2.1

The structure in CIF format:
```
data_V3MoPt
_chemical_formula_sum 'V3 Mo1 Pt1'
_space_group_name_H-M_alt 'P 1'
_space_group_IT_number 1
_cell_length_a 4.6472
_cell_length_b 4.6472
_cell_length_c 4.6472
_cell_angle_alpha 90.00
_cell_angle_beta 90.00
_cell_angle_gamma 90.00
loop_
_space_group_symop_operation_xyz
'x,y,z'
loop_
_atom_site_label
_atom_site_type_symbol
_atom_site_fract_x
_atom_site_fract_y
_atom_site_fract_z
V1 V 0.0000 0.0000 0.5000
V2 V 0.5000 0.0000 0.0000
V3 V 0.0000 0.5000 0.0000
Pt1 Pt 0.0000 0.0000 0.0000
Mo1 Mo 0.5000 0.5000 0.5000
```

***

# 2
First-principles (PBE) data for VMoPt4 after structural relaxation, as listed in Alexandria.

Properties
- ΔE_f (eV/atom) = -0.44
- magnetization (Bohr magnetons per cell) = 0.0

The structure in CIF format:
```
data_VMoPt4
_chemical_formula_sum 'V1 Mo1 Pt4'
_space_group_name_H-M_alt 'P 1'
_space_group_IT_number 1
_cell_length_a 2.7578
_cell_length_b 2.7578
_cell_length_c 11.9461
_cell_angle_alpha 90.01
_cell_angle_beta 90.00
_cell_angle_gamma 90.00
loop_
_space_group_symop_operation_xyz
'x,y,z'
loop_
_atom_site_label
_atom_site_type_symbol
_atom_site_fract_x
_atom_site_fract_y
_atom_site_fract_z
Pt1 Pt 0.5000 0.5001 0.8475
Pt2 Pt 0.5000 0.4999 0.1525
Pt3 Pt 0.0000 0.0002 0.6637
Pt4 Pt 0.0000 0.9998 0.3363
Mo1 Mo 0.5000 0.5000 0.5000
V1 V 0.0000 0.0000 0.0000
```

***

# 3
First-principles (PBE) data for V2MoPt after structural relaxation, as listed in Alexandria.

Properties
- ΔE_f (eV/atom) = 0.41
- magnetization (Bohr magnetons per cell) = 0.0

The structure in CIF format:
```
data_V2MoPt
_chemical_formula_sum 'V4 Mo2 Pt2'
_space_group_name_H-M_alt 'P 1'
_space_group_IT_number 1
_cell_length_a 3.8173
_cell_length_b 3.8173
_cell_length_c 9.2083
_cell_angle_alpha 78.04
_cell_angle_beta 78.04
_cell_angle_gamma 90.00
loop_
_space_group_symop_operation_xyz
'x,y,z'
loop_
_atom_site_label
_atom_site_type_symbol
_atom_site_fract_x
_atom_site_fract_y
_atom_site_fract_z
V1 V 0.6173 0.1250 0.2500
V2 V 0.3750 0.3827 0.7500
V3 V 0.1327 0.6250 0.2500
V4 V 0.8750 0.8673 0.7500
Pt1 Pt 0.0000 0.0000 0.0000
Pt2 Pt 0.7500 0.2500 0.5000
Mo1 Mo 0.5000 0.5000 0.0000
Mo2 Mo 0.2500 0.7500 0.5000
```